Record 1
VASP calculation (PBE) on crystalline MgInSi2 at its relaxed geometry.

Properties
DOS at the Fermi energy = 0.211 states/eV/atom
Uncorrected energy = -3.494 eV per atom
ΔE to the lowest computed polymorph = 119 meV per atom

abc: 3.094 3.094 8.181
angles: 90.00 90.00 89.98
Positions (direct):
In: 0.500 0.500 0.250
Si: 0.000 0.000 0.977
Mg: 0.500 0.500 0.750
Si: 0.000 0.000 0.523

=====

Record 2
VASP calculation (PBE) on crystalline CsKMg2Hg at its relaxed geometry.

Properties
DOS at the Fermi energy = 0.647 states/eV/atom
Uncorrected energy = -1.024 eV per atom
ΔH_f (0 K) = 0.06 eV/atom

abc: 5.557 5.557 6.649
angles: 90.00 90.00 90.00
Positions (direct):
K: 0.000 0.000 0.500
Mg: 0.000 0.500 0.000
Mg: 0.500 0.000 0.000
Hg: 0.000 0.000 0.000
Cs: 0.500 0.500 0.500

=====

Record 3
VASP calculation (PBE) on crystalline LiAg2WS at its relaxed geometry.

Properties
DOS at the Fermi energy = 0.709 states/eV/atom
Uncorrected energy = -3.184 eV per atom

abc: 5.175 5.098 5.175
angles: 90.00 90.00 90.00
Each line ends with the local moment (μB).
Positions (direct):
Ag: 0.500 0.000 0.000  0.13
W: 0.000 0.000 0.000  2.85
Ag: 0.000 0.000 0.500  0.23
Li: 0.000 0.500 0.000  0.09
S: 0.500 0.500 0.500  0.16

=====

Record 4
VASP calculation (PBE) on crystalline Ca2YPRu at its relaxed geometry.

Properties
DOS at the Fermi energy = 0.826 states/eV/atom
Uncorrected energy = -4.947 eV per atom
ΔH_f (0 K) = 0.08 eV/atom

abc: 5.258 5.299 5.258
angles: 90.00 90.00 90.00
Each line ends with the local moment (μB).
Positions (direct):
Ca: 0.500 0.000 0.000  -0.05
Y: 0.000 0.500 0.000  -0.15
P: 0.000 0.000 0.000  0.00
Ru: 0.500 0.500 0.500  1.23
Ca: 0.000 0.000 0.500  -0.04

=====

Record 5
VASP calculation (PBE) on crystalline CsAgBrF at its relaxed geometry.

Properties
DOS at the Fermi energy = 0.000 states/eV/atom
Uncorrected energy = -3.308 eV per atom

abc: 4.614 4.614 13.894
angles: 90.00 90.00 120.00
Positions (direct):
F: 0.000 0.000 0.157
Cs: 0.667 0.333 0.728
Br: 0.333 0.667 0.936
Cs: 0.333 0.667 0.228
Br: 0.667 0.333 0.436
F: 0.000 0.000 0.657
Ag: 0.000 0.000 0.991
Ag: 0.000 0.000 0.491

=====

Record 6
VASP calculation (PBE) on crystalline Ho2TmGa3Pt4 at its relaxed geometry.

Properties
DOS at the Fermi energy = 0.558 states/eV/atom
Uncorrected energy = -5.666 eV per atom
ΔH_f (0 K) = -0.98 eV/atom

abc: 4.127 4.127 11.582
angles: 90.00 90.00 90.00
Positions (direct):
Ga: 0.000 0.500 0.129
Ho: 0.500 0.000 0.228
Pt: 0.000 0.000 0.000
Ga: 0.000 0.000 0.500
Pt: 0.000 0.500 0.342
Tm: 0.500 0.500 0.500
Pt: 0.500 0.500 0.000
Ho: 0.000 0.500 0.772
Ga: 0.500 0.000 0.871
Pt: 0.500 0.000 0.658

=====

Record 7
VASP calculation (PBE) on crystalline Sr3OsO6F2 at its relaxed geometry.

Properties
Uncorrected energy = -6.420 eV per atom

abc: 5.080 6.884 6.904
angles: 119.91 88.83 90.00
Positions (direct):
O: 0.288 0.137 0.879
Sr: 0.500 0.500 0.500
F: 0.761 0.331 0.662
Os: 0.500 0.000 0.000
O: 0.712 0.258 0.121
Sr: 0.000 0.500 0.000
O: 0.712 0.863 0.121
Sr: 0.500 0.000 0.500
F: 0.239 0.669 0.338
O: 0.701 0.865 0.731
O: 0.299 0.135 0.269
O: 0.288 0.742 0.879

=====

Record 8
VASP calculation (PBE) on crystalline PuCdSnO6 at its relaxed geometry.

Properties
DOS at the Fermi energy = 0.607 states/eV/atom
Uncorrected energy = -7.227 eV per atom

abc: 5.516 5.516 9.723
angles: 90.00 90.00 120.00
Each line ends with the local moment (μB).
Positions (direct):
Pu: 0.333 0.667 0.750  2.53
O: 0.356 0.354 0.364  -0.08
O: 0.354 0.356 0.864  -0.08
Sn: 0.333 0.667 0.250  0.02
O: 0.354 0.997 0.636  -0.08
Cd: 0.000 0.000 0.500  -0.01
O: 0.997 0.354 0.136  -0.08
O: 0.644 0.997 0.864  -0.08
Sn: 0.667 0.333 0.750  0.02
Cd: 0.000 0.000 0.000  -0.01
O: 0.997 0.644 0.364  -0.08
O: 0.646 0.003 0.364  -0.08
O: 0.003 0.356 0.636  -0.08
O: 0.356 0.003 0.136  -0.08
O: 0.646 0.644 0.136  -0.08
O: 0.644 0.646 0.636  -0.08
O: 0.003 0.646 0.864  -0.08
Pu: 0.667 0.333 0.250  2.53

=====

Record 9
VASP calculation (PBE) on crystalline NaCdTc2O8 at its relaxed geometry.

Properties
DOS at the Fermi energy = 0.474 states/eV/atom
Uncorrected energy = -6.595 eV per atom

abc: 6.238 6.238 6.238
angles: 106.94 106.94 114.65
Each line ends with the local moment (μB).
Positions (direct):
O: 0.847 0.656 0.191  0.02
O: 0.465 0.656 0.809  0.02
O: 0.344 0.535 0.191  0.02
Tc: 0.750 0.250 0.500  0.14
O: 0.909 0.597 0.687  0.00
O: 0.344 0.153 0.809  0.02
Tc: 0.500 0.500 0.000  0.22
O: 0.403 0.091 0.313  0.00
Cd: 0.250 0.750 0.500  0.04
O: 0.909 0.222 0.313  0.00
Na: 0.000 0.000 0.000  0.00
O: 0.778 0.091 0.687  0.00

=====

Record 10
VASP calculation (PBE) on crystalline Er4TeAu at its relaxed geometry.

Properties
DOS at the Fermi energy = 1.175 states/eV/atom
Uncorrected energy = -4.837 eV per atom
ΔE to the lowest computed polymorph = 0 meV per atom

abc: 3.908 8.321 19.617
angles: 90.00 90.00 90.00
Positions (direct):
Er: 0.750 0.482 0.283
Er: 0.750 0.880 0.441
Er: 0.250 0.120 0.559
Er: 0.250 0.018 0.783
Er: 0.750 0.839 0.654
Te: 0.750 0.718 0.813
Er: 0.250 0.020 0.072
Er: 0.250 0.161 0.346
Er: 0.750 0.339 0.846
Er: 0.250 0.520 0.428
Er: 0.750 0.380 0.059
Er: 0.250 0.661 0.154
Er: 0.250 0.518 0.717
Er: 0.750 0.982 0.217
Te: 0.750 0.218 0.687
Au: 0.250 0.247 0.951
Er: 0.750 0.980 0.928
Au: 0.250 0.747 0.549
Er: 0.750 0.480 0.572
Er: 0.250 0.620 0.941
Te: 0.250 0.782 0.313
Au: 0.750 0.253 0.451
Au: 0.750 0.753 0.049
Te: 0.250 0.282 0.187

=====

Record 11
VASP calculation (PBE) on crystalline LaHf2Re at its relaxed geometry.

Properties
DOS at the Fermi energy = 1.303 states/eV/atom
Uncorrected energy = -8.553 eV per atom
ΔE to the lowest computed polymorph = 860 meV per atom
ΔH_f (0 K) = 0.77 eV/atom

abc: 4.283 4.283 10.761
angles: 78.52 78.52 90.00
Positions (direct):
Re: 0.750 0.250 0.500
La: 0.500 0.500 0.000
La: 0.250 0.750 0.500
Hf: 0.646 0.125 0.250
Hf: 0.875 0.896 0.750
Hf: 0.375 0.354 0.750
Re: 0.000 0.000 0.000
Hf: 0.104 0.625 0.250

=====

Record 12
VASP calculation (PBE) on crystalline Ba2Sc2Be at its relaxed geometry.

Properties
DOS at the Fermi energy = 1.169 states/eV/atom
Uncorrected energy = -3.550 eV per atom
ΔE to the lowest computed polymorph = 0 meV per atom
ΔH_f (0 K) = 0.50 eV/atom

abc: 7.283 7.283 5.979
angles: 90.00 90.00 90.00
Positions (direct):
Sc: 0.844 0.656 0.000
Ba: 0.684 0.816 0.500
Ba: 0.816 0.316 0.500
Sc: 0.344 0.844 0.000
Ba: 0.316 0.184 0.500
Be: 0.500 0.500 0.000
Sc: 0.656 0.156 0.000
Sc: 0.156 0.344 0.000
Be: 0.000 0.000 0.000
Ba: 0.184 0.684 0.500

=====

Record 13
VASP calculation (PBE) on crystalline HoSbPd at its relaxed geometry.

Properties
DOS at the Fermi energy = 0.503 states/eV/atom
Uncorrected energy = -5.306 eV per atom

abc: 4.005 4.005 5.199
angles: 112.66 112.66 90.00
Positions (direct):
Ho: 0.286 0.286 0.572
Sb: 0.624 0.624 0.248
Pd: 0.940 0.940 0.879

=====

Record 14
VASP calculation (PBE) on crystalline MgW2Cl at its relaxed geometry.

Properties
DOS at the Fermi energy = 1.087 states/eV/atom
Uncorrected energy = -6.317 eV per atom
ΔE to the lowest computed polymorph = 875 meV per atom

abc: 5.478 5.478 2.788
angles: 90.00 90.00 122.82
Positions (direct):
W: 0.500 0.500 0.000
W: 0.000 0.000 0.000
Mg: 0.000 0.500 0.500
Cl: 0.500 0.000 0.500

=====

Record 15
VASP calculation (PBE) on crystalline Mg4HgAu at its relaxed geometry.

Properties
DOS at the Fermi energy = 0.347 states/eV/atom
Uncorrected energy = -1.928 eV per atom
ΔE to the lowest computed polymorph = 90 meV per atom
ΔH_f (0 K) = -0.27 eV/atom

abc: 3.377 7.782 9.931
angles: 90.00 99.79 90.00
Positions (direct):
Au: 0.813 0.872 0.625
Mg: 0.042 0.607 0.084
Mg: 0.679 0.670 0.359
Mg: 0.698 0.075 0.396
Hg: 0.565 0.918 0.129
Mg: 0.321 0.170 0.641
Mg: 0.302 0.575 0.604
Mg: 0.958 0.107 0.916
Mg: 0.422 0.792 0.844
Au: 0.187 0.372 0.375
Hg: 0.435 0.418 0.871
Mg: 0.578 0.292 0.156

=====

Record 16
VASP calculation (PBE) on crystalline Dy3Cu2Au at its relaxed geometry.

Properties
DOS at the Fermi energy = 0.490 states/eV/atom
Uncorrected energy = -4.666 eV per atom
ΔH_f (0 K) = -0.45 eV/atom

abc: 3.512 3.512 10.571
angles: 90.00 90.00 90.00
Positions (direct):
Dy: 0.000 0.000 0.326
Cu: 0.500 0.500 0.839
Cu: 0.500 0.500 0.161
Au: 0.500 0.500 0.500
Dy: 0.000 0.000 0.000
Dy: 0.000 0.000 0.674

=====

Record 17
VASP calculation (PBE) on crystalline Ho12BiRu6 at its relaxed geometry.

Properties
DOS at the Fermi energy = 1.021 states/eV/atom
Uncorrected energy = -6.372 eV per atom
ΔH_f (0 K) = -0.35 eV/atom

abc: 8.515 8.515 8.515
angles: 109.47 109.47 109.47
Positions (direct):
Ho: 0.101 0.804 0.298
Ru: 0.500 0.124 0.624
Ho: 0.506 0.804 0.702
Bi: 0.000 0.000 0.000
Ru: 0.624 0.500 0.124
Ho: 0.196 0.702 0.899
Ho: 0.494 0.196 0.298
Ho: 0.196 0.298 0.494
Ho: 0.298 0.494 0.196
Ho: 0.702 0.506 0.804
Ru: 0.124 0.624 0.500
Ho: 0.804 0.702 0.506
Ho: 0.702 0.899 0.196
Ru: 0.500 0.876 0.376
Ru: 0.876 0.376 0.500
Ho: 0.298 0.101 0.804
Ho: 0.899 0.196 0.702
Ru: 0.376 0.500 0.876
Ho: 0.804 0.298 0.101

=====

Record 18
VASP calculation (PBE) on crystalline PaInPd at its relaxed geometry.

Properties
DOS at the Fermi energy = 1.290 states/eV/atom
Uncorrected energy = -6.105 eV per atom
ΔH_f (0 K) = -0.30 eV/atom

abc: 4.374 4.091 7.478
angles: 105.87 89.98 90.00
Each line ends with the local moment (μB).
Positions (direct):
Pa: 0.250 0.938 0.877  0.59
In: 0.250 0.252 0.505  0.00
In: 0.750 0.748 0.495  0.00
Pa: 0.750 0.062 0.123  0.59
Pd: 0.749 0.390 0.779  0.01
Pd: 0.251 0.610 0.221  0.01

=====

Record 19
VASP calculation (PBE) on crystalline Li3Pa3IrN8 at its relaxed geometry.

Properties
DOS at the Fermi energy = 0.465 states/eV/atom
Uncorrected energy = -8.078 eV per atom

abc: 6.824 6.824 6.360
angles: 122.46 89.99 120.00
Positions (direct):
N: 0.242 0.017 0.292
N: 0.225 0.450 0.708
Li: 0.000 0.000 0.000
N: 0.758 0.983 0.708
N: 0.225 0.983 0.708
Pa: 0.500 0.000 0.500
Li: 0.500 0.500 0.000
Ir: 0.000 0.000 0.500
N: 0.260 0.520 0.280
N: 0.740 0.480 0.720
Pa: 0.500 0.500 0.500
Li: 0.000 0.500 0.000
Pa: 0.000 0.500 0.500
N: 0.775 0.017 0.292
N: 0.775 0.550 0.292

=====

Record 20
VASP calculation (PBE) on crystalline GaBPS2 at its relaxed geometry.

Properties
DOS at the Fermi energy = 0.464 states/eV/atom
Uncorrected energy = -4.046 eV per atom
ΔE to the lowest computed polymorph = 0 meV per atom

abc: 4.532 4.532 3.833
angles: 90.00 90.00 90.00
Positions (direct):
P: 0.000 0.000 0.500
S: 0.000 0.500 0.000
S: 0.500 0.000 0.000
B: 0.000 0.000 0.000
Ga: 0.500 0.500 0.500

=====

Record 21
VASP calculation (PBE) on crystalline BaCa2In4 at its relaxed geometry.

Properties
DOS at the Fermi energy = 1.375 states/eV/atom
Uncorrected energy = -2.093 eV per atom
ΔE to the lowest computed polymorph = 746 meV per atom
ΔH_f (0 K) = 0.32 eV/atom

abc: 6.117 6.117 9.501
angles: 71.22 71.22 90.00
Positions (direct):
In: 0.000 0.500 0.000
In: 0.799 0.799 0.402
Ca: 0.604 0.604 0.793
In: 0.201 0.201 0.598
Ba: 0.000 0.000 0.000
Ca: 0.396 0.396 0.207
In: 0.500 0.000 0.000

=====

Record 22
VASP calculation (PBE) on crystalline GePbNF2 at its relaxed geometry.

Properties
DOS at the Fermi energy = 0.280 states/eV/atom
Uncorrected energy = -4.328 eV per atom
ΔE to the lowest computed polymorph = 590 meV per atom

abc: 4.523 4.523 4.419
angles: 90.00 90.00 90.00
Each line ends with the local moment (μB).
Positions (direct):
F: 0.000 0.500 0.000  0.01
Pb: 0.000 0.000 0.000  0.00
Ge: 0.500 0.500 0.500  0.09
F: 0.500 0.000 0.000  0.01
N: 0.000 0.000 0.500  -0.02

=====

Record 23
VASP calculation (PBE) on crystalline ZnFe2Cl at its relaxed geometry.

Properties
DOS at the Fermi energy = 0.992 states/eV/atom
Uncorrected energy = -4.688 eV per atom
ΔE to the lowest computed polymorph = 256 meV per atom

abc: 3.112 3.108 6.197
angles: 90.00 90.00 90.00
Each line ends with the local moment (μB).
Positions (direct):
Fe: 0.000 0.000 0.449  2.64
Fe: 0.000 0.000 0.051  2.64
Zn: 0.500 0.500 0.250  -0.10
Cl: 0.500 0.500 0.750  0.06

=====

Record 24
VASP calculation (PBE) on crystalline RbCoPt3 at its relaxed geometry.

Properties
DOS at the Fermi energy = 0.838 states/eV/atom
Uncorrected energy = -4.606 eV per atom
ΔE to the lowest computed polymorph = 0 meV per atom
ΔH_f (0 K) = 0.63 eV/atom

abc: 4.758 4.758 4.758
angles: 90.00 90.00 90.00
Each line ends with the local moment (μB).
Positions (direct):
Co: 0.000 0.000 0.000  1.97
Pt: 0.000 0.000 0.500  0.57
Pt: 0.000 0.500 0.000  0.41
Rb: 0.500 0.500 0.500  -0.01
Pt: 0.500 0.000 0.000  0.17